The following is a PBE calculation of Tb2Pr3NdS6 after structural relaxation, from the Alexandria database.

Values from the calculation:
Total energy   -6.449 eV/atom
Total moment   0.000 μB/f.u.
N(E_F)   0.446 states/eV/atom
Space group   C2/m

Cell: 6.984 6.984 7.032 Å, 99.51 99.51 120.15°
Fractional coordinates of all 12 atoms:
Tb  0.666  0.334  0.000
Tb  0.334  0.666  0.000
S  0.921  0.579  0.761
S  0.737  0.737  0.236
S  0.579  0.921  0.761
S  0.421  0.079  0.239
S  0.263  0.263  0.764
S  0.079  0.421  0.239
Nd  0.000  0.000  0.000
Pr  0.500  0.500  0.500
Pr  0.163  0.837  0.500
Pr  0.837  0.163  0.500

***

The following is a PBE calculation of La2MnOs after structural relaxation, from the Alexandria database.

Values from the calculation:
Total energy   -7.343 eV/atom
Formation enthalpy at 0 K   0.220 eV per atom
Energy above the most stable polymorph in this dataset   226 meV/atom
Total moment   3.482 μB/f.u.
N(E_F)   0.977 states/eV/atom
Space group   P4/mmm

Cell: 3.555 3.555 7.747 Å, 90.00 90.00 90.01°
Last column: magnetic moment on the atom in μB.
Fractional coordinates of all 4 atoms:
La  0.000  0.000  0.980  0.11
La  0.000  0.000  0.520  0.11
Os  0.500  0.500  0.750  -0.10
Mn  0.500  0.500  0.250  -3.71

***

The following is a PBE calculation of EuThTl2 after structural relaxation, from the Alexandria database.

Values from the calculation:
Total energy   -5.875 eV/atom
Formation enthalpy at 0 K   -0.268 eV per atom
Energy above the most stable polymorph in this dataset   0 meV/atom
Total moment   7.297 μB/f.u.
N(E_F)   2.303 states/eV/atom
Space group   P4/mmm

Cell: 3.607 3.607 9.205 Å, 90.00 90.00 90.00°
Last column: magnetic moment on the atom in μB.
Fractional coordinates of all 4 atoms:
Tl  0.000  0.000  0.751  0.01
Tl  0.000  0.000  0.249  0.01
Th  0.500  0.500  0.000  0.04
Eu  0.500  0.500  0.500  6.89

***

The following is a PBE calculation of Cr2HgBr after structural relaxation, from the Alexandria database.

Values from the calculation:
Total energy   -4.861 eV/atom
Energy above the most stable polymorph in this dataset   182 meV/atom
Total moment   8.511 μB/f.u.
N(E_F)   1.009 states/eV/atom
Space group   R-3m

Cell: 8.248 8.248 8.248 Å, 24.40 24.40 24.40°
Last column: magnetic moment on the atom in μB.
Fractional coordinates of all 4 atoms:
Br  0.750  0.750  0.750  0.01
Cr  0.000  0.000  0.000  3.83
Cr  0.500  0.500  0.500  3.83
Hg  0.250  0.250  0.250  -0.01

***

The following is a PBE calculation of HgAsSe2 after structural relaxation, from the Alexandria database.

Values from the calculation:
Total energy   -2.669 eV/atom
Energy above the most stable polymorph in this dataset   378 meV/atom
Total moment   0.000 μB/f.u.
N(E_F)   0.698 states/eV/atom
Space group   P4/mmm

Cell: 3.489 3.491 7.331 Å, 90.00 90.00 90.00°
Fractional coordinates of all 4 atoms:
Hg  0.500  0.500  0.750
Se  0.000  0.000  0.460
Se  0.000  0.000  0.040
As  0.500  0.500  0.250

***

The following is a PBE calculation of TbSm2DyHo2 after structural relaxation, from the Alexandria database.

Values from the calculation:
Total energy   -4.370 eV/atom
Formation enthalpy at 0 K   0.267 eV per atom
Total moment   0.000 μB/f.u.
N(E_F)   1.493 states/eV/atom
Space group   Pnnm

Cell: 3.375 6.643 17.567 Å, 90.00 90.00 90.00°
Fractional coordinates of all 12 atoms:
Tb  0.500  0.500  0.500
Tb  0.000  0.000  0.000
Ho  0.500  0.261  0.678
Ho  0.500  0.739  0.322
Ho  0.000  0.239  0.178
Ho  0.000  0.761  0.822
Sm  0.500  0.235  0.349
Sm  0.000  0.735  0.151
Sm  0.000  0.265  0.849
Sm  0.500  0.765  0.651
Dy  0.500  0.500  0.000
Dy  0.000  0.000  0.500

***

The following is a PBE calculation of Ce3PuGa4 after structural relaxation, from the Alexandria database.

Values from the calculation:
Total energy   -5.779 eV/atom
Formation enthalpy at 0 K   -0.249 eV per atom
Total moment   8.767 μB/f.u.
N(E_F)   2.668 states/eV/atom
Space group   Immm

Cell: 3.179 6.883 9.804 Å, 110.56 99.33 90.00°
Last column: magnetic moment on the atom in μB.
Fractional coordinates of all 8 atoms:
Ga  0.628  0.825  0.255  0.00
Ga  0.628  0.430  0.255  0.00
Ga  0.372  0.175  0.745  0.00
Ga  0.372  0.570  0.745  0.00
Ce  0.784  0.784  0.568  0.81
Ce  0.000  0.500  0.000  0.22
Ce  0.216  0.216  0.432  0.81
Pu  0.500  0.000  0.000  5.72

***

The following is a PBE calculation of ZrAlI after structural relaxation, from the Alexandria database.

Values from the calculation:
Total energy   -5.121 eV/atom
Total moment   0.000 μB/f.u.
N(E_F)   0.298 states/eV/atom
Space group   P2_1/m

Cell: 4.256 3.870 10.968 Å, 90.00 101.06 90.00°
Fractional coordinates of all 6 atoms:
I  0.335  0.750  0.166
I  0.665  0.250  0.834
Al  0.038  0.250  0.577
Al  0.962  0.750  0.423
Zr  0.561  0.750  0.623
Zr  0.439  0.250  0.377

***

The following is a PBE calculation of Tb2DyPaTc2 after structural relaxation, from the Alexandria database.

Values from the calculation:
Total energy   -7.401 eV/atom
Formation enthalpy at 0 K   -0.053 eV per atom
Total moment   0.000 μB/f.u.
N(E_F)   0.965 states/eV/atom
Space group   Ibam

Cell: 6.617 6.703 8.385 Å, 113.56 113.24 90.00°
Fractional coordinates of all 12 atoms:
Tc  0.105  0.809  0.211
Tc  0.895  0.191  0.789
Tc  0.395  0.598  0.789
Tc  0.605  0.402  0.211
Tb  0.309  0.077  0.619
Tb  0.691  0.923  0.381
Tb  0.809  0.542  0.619
Tb  0.191  0.458  0.381
Pa  0.750  0.500  0.000
Pa  0.250  0.500  0.000
Dy  0.250  0.000  0.000
Dy  0.750  0.000  0.000

***

The following is a PBE calculation of TbGa4Pd2 after structural relaxation, from the Alexandria database.

Values from the calculation:
Total energy   -4.562 eV/atom
Formation enthalpy at 0 K   -0.688 eV per atom
Energy above the most stable polymorph in this dataset   0 meV/atom
Total moment   0.000 μB/f.u.
N(E_F)   0.374 states/eV/atom
Space group   Pnma

Cell: 4.340 6.524 17.563 Å, 90.00 90.00 90.00°
Fractional coordinates of all 28 atoms:
Ga  0.750  0.985  0.075
Ga  0.750  0.319  0.319
Ga  0.250  0.338  0.038
Ga  0.250  0.224  0.189
Ga  0.250  0.485  0.425
Ga  0.250  0.819  0.181
Ga  0.750  0.838  0.462
Ga  0.750  0.515  0.575
Ga  0.750  0.662  0.962
Ga  0.250  0.681  0.681
Ga  0.250  0.162  0.538
Ga  0.250  0.015  0.925
Ga  0.750  0.181  0.819
Ga  0.750  0.724  0.311
Ga  0.750  0.776  0.811
Ga  0.250  0.276  0.689
Pd  0.250  0.528  0.281
Pd  0.750  0.028  0.219
Pd  0.750  0.250  0.966
Pd  0.750  0.472  0.719
Pd  0.250  0.750  0.034
Pd  0.750  0.250  0.466
Pd  0.250  0.972  0.781
Pd  0.250  0.750  0.534
Tb  0.250  0.010  0.360
Tb  0.250  0.490  0.860
Tb  0.750  0.990  0.640
Tb  0.750  0.510  0.140

***

The following is a PBE calculation of ScTl2CrSi after structural relaxation, from the Alexandria database.

Values from the calculation:
Total energy   -4.372 eV/atom
Total moment   0.355 μB/f.u.
N(E_F)   1.647 states/eV/atom
Space group   P4/mmm

Cell: 5.184 4.463 5.184 Å, 90.00 90.00 90.00°
Last column: magnetic moment on the atom in μB.
Fractional coordinates of all 5 atoms:
Cr  0.000  0.500  0.000  -0.14
Si  0.000  0.000  0.000  0.02
Tl  0.500  0.000  0.000  0.01
Tl  0.000  0.000  0.500  0.01
Sc  0.500  0.500  0.500  0.25

***

The following is a PBE calculation of PmPa2IrN5 after structural relaxation, from the Alexandria database.

Values from the calculation:
Total energy   -9.293 eV/atom
Total moment   0.000 μB/f.u.
N(E_F)   0.591 states/eV/atom
Space group   I4/mcm

Cell: 6.546 6.546 7.516 Å, 115.82 115.82 90.00°
Fractional coordinates of all 18 atoms:
N  0.981  0.481  0.250
N  0.481  0.269  0.250
N  0.019  0.519  0.750
N  0.269  0.769  0.250
N  0.000  0.000  0.000
N  0.769  0.981  0.250
N  0.500  0.500  0.000
N  0.731  0.231  0.750
N  0.231  0.019  0.750
N  0.519  0.731  0.750
Pm  0.250  0.250  0.500
Pm  0.750  0.750  0.500
Pa  0.678  0.178  0.000
Pa  0.822  0.678  0.000
Pa  0.178  0.322  0.000
Pa  0.322  0.822  0.000
Ir  0.250  0.750  0.500
Ir  0.750  0.250  0.500